1.
A plane-wave DFT calculation with PBE-GGA was carried out for a geometry-optimized Ho3TmPb3 structure.

Its total energy is -0.1617 hartree per atom. The density of states at the Fermi level comes out at 16.55 states/eV/cell. The total magnetization comes out at 0.0000 μB per atom. As for the energy of formation from the pure elements: -0.210 eV/atom. The crystal system is monoclinic.

The structure belongs to space group C2/m (No. 12); the cell edges are 8.6440, 13.1225 and 7.8308 Å and the angles 90.00°, 90.51° and 90.00°. Symmetry generates all atoms from Ho at (0.0000, 0.1470, 0.0000), Ho at (0.0000, 0.2226, 0.5000), Ho at (0.1316, 0.5000, 0.1397), Tm at (0.2000, 0.5000, 0.5891), Pb at (0.0532, 0.0000, 0.6971) and Pb at (0.1655, 0.3213, 0.8179).

2.
A plane-wave DFT calculation with PBE-GGA was carried out for a geometry-optimized LiCeGdZn structure.

Its total energy is -0.2142 hartree per atom. The density of states at the Fermi level comes out at 35.93 states/eV/cell. The total magnetization comes out at 2.2010 μB per atom. As for the energy of formation from the pure elements: -0.028 eV/atom. The crystal system is cubic.

The structure belongs to space group F-43m (No. 216); the cell edges are 7.3118, 7.3118 and 7.3118 Å and the angles 90.00°, 90.00° and 90.00°. Symmetry generates all atoms from Li at (0.0000, 0.0000, 0.0000), Ce at (0.2500, 0.2500, 0.2500), Gd at (0.2500, 0.2500, 0.7500) and Zn at (0.0000, 0.0000, 0.5000).

3.
A plane-wave DFT calculation with PBE-GGA was carried out for a geometry-optimized VFe4Si3 structure.

Its total energy is -0.2902 hartree per atom. The density of states at the Fermi level comes out at 5.00 states/eV/cell. Its formation energy without anion corrections is -493 meV per atom. The total magnetization comes out at 0.1251 μB per atom. The crystal system is tetragonal.

The structure belongs to space group P4/mmm (No. 123); the cell edges are 3.9533, 3.9533 and 5.5216 Å and the angles 90.00°, 90.00° and 90.00°. Symmetry generates all atoms from V at (0.0000, 0.0000, 0.0000), Fe at (0.0000, 0.5000, 0.2548), Si at (0.0000, 0.0000, 0.5000), Si at (0.5000, 0.5000, 0.0000) and Si at (0.5000, 0.5000, 0.5000).